1.
# RbNbCo3 | Alexandria | PBE | relaxed
# **Energy above the lowest structure with this stoichiometry**: 1205 meV per atom
# **Crystal system**: cubic
# **D(E_F)**: 5.62 states/eV/cell
# **M_tot**: 0.63 Bohr magnetons per cell
# **Symmetry**: Pm-3m (221)
data_RbNbCo3
_cell_length_a 4.4053
_cell_length_b 4.4053
_cell_length_c 4.4053
_cell_angle_alpha 90.00
_cell_angle_beta 90.00
_cell_angle_gamma 90.00
_space_group_name_H-M_alt 'P 1'
_space_group_IT_number 1
loop_
_space_group_symop_operation_xyz
'x,y,z'
loop_
_atom_site_label
_atom_site_fract_x
_atom_site_fract_y
_atom_site_fract_z
Rb1 0.0000 0.0000 0.0000
Nb1 0.5000 0.5000 0.5000
Co1 0.0000 0.0000 0.5000
Co2 0.0000 0.5000 0.0000
Co3 0.5000 0.0000 0.0000

2.
# LiPm2Dy | Alexandria | PBE | relaxed
# **Energy above the lowest structure with this stoichiometry**: 8 meV per atom
# **Crystal system**: trigonal
# **D(E_F)**: 3.18 states/eV/cell
# **M_tot**: 0.00 Bohr magnetons per cell
# **Symmetry**: R3m (160)
data_LiPm2Dy
_cell_length_a 11.5908
_cell_length_b 11.5908
_cell_length_c 11.5908
_cell_angle_alpha 17.63
_cell_angle_beta 17.63
_cell_angle_gamma 17.63
_space_group_name_H-M_alt 'P 1'
_space_group_IT_number 1
loop_
_space_group_symop_operation_xyz
'x,y,z'
loop_
_atom_site_label
_atom_site_fract_x
_atom_site_fract_y
_atom_site_fract_z
Li1 0.0000 0.0000 0.0000
Pm1 0.2512 0.2512 0.2512
Pm2 0.4154 0.4154 0.4154
Dy1 0.8332 0.8332 0.8332

ΔE_f / meV per atom: 2577 74
V / Å³ per cell: 85 125
E / eV per atom: -3.894 -3.930